No. 1
## MnAlSeN2 (PBE-GGA)

Data for a relaxed MnAlSeN2 crystal.

abc: 3.6341 3.6341 5.2007
angles: 90.00 90.00 90.00
Closest atoms and distances in Å follow each position.
Fractional coordinates of all 5 atoms:
Mn 0.0000 0.0000 0.0000  4 N 1.82
Al 0.5000 0.5000 0.5000  4 Se 2.57
Se 0.0000 0.0000 0.5000  4 Al 2.57, 2 Mn 2.60
N 0.0000 0.5000 0.0000  2 Mn 1.82
N 0.5000 0.0000 0.0000  2 Mn 1.82

* energy: -30.908 eV/cell
* N(E_F): 1.44 states/eV per cell

***

No. 2
## MnAlTc2N (PBE-GGA)

Data for a relaxed MnAlTc2N crystal.

abc: 4.0738 4.0738 3.7856
angles: 90.00 90.00 90.00
Closest atoms and distances in Å follow each position.
Fractional coordinates of all 5 atoms:
Mn 0.0000 0.0000 0.0000  2 N 1.89
Al 0.5000 0.5000 0.0000  8 Tc 2.78, 4 Mn 2.88
Tc 0.0000 0.5000 0.5000  2 N 2.04
Tc 0.5000 0.0000 0.5000  2 N 2.04
N 0.0000 0.0000 0.5000  2 Mn 1.89, 4 Tc 2.04

* energy: -43.285 eV/cell
* N(E_F): 3.35 states/eV per cell

***

No. 3
## MnAlTeN2 (PBE-GGA)

Data for a relaxed MnAlTeN2 crystal.

abc: 3.6750 3.6750 6.0399
angles: 90.00 90.00 90.00
Closest atoms and distances in Å follow each position.
Fractional coordinates of all 5 atoms:
Mn 0.0000 0.0000 0.0000  4 Te 2.60
Al 0.5000 0.5000 0.5000  4 N 1.84
Te 0.5000 0.5000 0.0000  4 Mn 2.60
N 0.0000 0.5000 0.5000  2 Al 1.84
N 0.5000 0.0000 0.5000  2 Al 1.84

* energy: -26.925 eV/cell
* N(E_F): 8.30 states/eV per cell

***

No. 4
## MnAlTeN2 (PBE-GGA)

Data for a relaxed MnAlTeN2 crystal.

abc: 3.7353 3.7353 5.4420
angles: 90.00 90.00 90.00
Closest atoms and distances in Å follow each position.
Fractional coordinates of all 5 atoms:
Mn 0.0000 0.0000 0.0000  4 N 1.87
Al 0.5000 0.5000 0.5000  4 Te 2.64
Te 0.0000 0.0000 0.5000  4 Al 2.64, 2 Mn 2.72
N 0.0000 0.5000 0.0000  2 Mn 1.87
N 0.5000 0.0000 0.0000  2 Mn 1.87

* energy: -29.480 eV/cell
* N(E_F): 2.11 states/eV per cell

***

No. 5
## MnAlV2N (PBE-GGA)

Data for a relaxed MnAlV2N crystal.

abc: 3.9278 3.9278 3.8351
angles: 90.00 90.00 90.00
Closest atoms and distances in Å follow each position.
Fractional coordinates of all 5 atoms:
Mn 0.0000 0.0000 0.0000  2 N 1.92
Al 0.5000 0.5000 0.0000  8 V 2.74, 4 Mn 2.78
V 0.0000 0.5000 0.5000  2 N 1.96
V 0.5000 0.0000 0.5000  2 N 1.96
N 0.0000 0.0000 0.5000  2 Mn 1.92, 4 V 1.96

* energy: -42.043 eV/cell
* N(E_F): 5.07 states/eV per cell

***

No. 6
## MnAl2WN (PBE-GGA)

Data for a relaxed MnAl2WN crystal.

abc: 3.9515 3.9515 4.0953
angles: 90.00 90.00 90.00
Closest atoms and distances in Å follow each position.
Fractional coordinates of all 5 atoms:
Mn 0.0000 0.0000 0.0000  4 W 2.79, 8 Al 2.85
Al 0.0000 0.5000 0.5000  2 N 1.98
Al 0.5000 0.0000 0.5000  2 N 1.98
W 0.5000 0.5000 0.0000  2 N 2.05
N 0.5000 0.5000 0.5000  4 Al 1.98, 2 W 2.05

* energy: -37.992 eV/cell
* N(E_F): 1.85 states/eV per cell

***

No. 7
## MnAl2ZnN (PBE-GGA)

Data for a relaxed MnAl2ZnN crystal.

abc: 5.1099 5.1099 3.4802
angles: 90.00 90.00 90.00
Closest atoms and distances in Å follow each position.
Fractional coordinates of all 5 atoms:
Mn 0.0000 0.0000 0.0000  8 Al 3.09
Al 0.0000 0.5000 0.5000  2 Zn 2.55
Al 0.5000 0.0000 0.5000  2 Zn 2.55
Zn 0.5000 0.5000 0.5000  2 N 1.74
N 0.5000 0.5000 0.0000  2 Zn 1.74

* energy: -21.175 eV/cell
* N(E_F): 2.57 states/eV per cell

***

No. 8
## Zr2MnAlN (PBE-GGA)

Data for a relaxed Zr2MnAlN crystal.

abc: 4.5175 4.5175 3.8705
angles: 90.00 90.00 90.00
Closest atoms and distances in Å follow each position.
Fractional coordinates of all 5 atoms:
Zr 0.0000 0.5000 0.0000  2 N 2.26
Zr 0.5000 0.0000 0.0000  2 N 2.26
Mn 0.0000 0.0000 0.5000  2 N 1.94
Al 0.5000 0.5000 0.5000  8 Zr 2.97, 4 Mn 3.19
N 0.0000 0.0000 0.0000  2 Mn 1.94

* energy: -41.844 eV/cell
* N(E_F): 3.81 states/eV per cell

***

Please write out number 5 again, unchanged.
## MnAlV2N (PBE-GGA)

Data for a relaxed MnAlV2N crystal.

abc: 3.9278 3.9278 3.8351
angles: 90.00 90.00 90.00
Closest atoms and distances in Å follow each position.
Fractional coordinates of all 5 atoms:
Mn 0.0000 0.0000 0.0000  2 N 1.92
Al 0.5000 0.5000 0.0000  8 V 2.74, 4 Mn 2.78
V 0.0000 0.5000 0.5000  2 N 1.96
V 0.5000 0.0000 0.5000  2 N 1.96
N 0.0000 0.0000 0.5000  2 Mn 1.92, 4 V 1.96

* energy: -42.043 eV/cell
* N(E_F): 5.07 states/eV per cell

***

Question: The highest N(E_F) belongs to which entry?
Answer: number 3

***

Question: Which value of energy does entry 1 give?
Answer: -30.908 eV/cell

***

Question: Which of these has the highest energy?
Answer: MnAl2ZnN